# PBE Nb2CoPt2, optimized geometry
data_Nb2CoPt2
_symmetry_space_group_name_H-M 'P 1'
_symmetry_Int_Tables_number 1
_cell_length_a 7.092
_cell_length_b 7.092
_cell_length_c 3.372
_cell_angle_alpha 90.00
_cell_angle_beta 90.00
_cell_angle_gamma 90.00
loop_
_symmetry_equiv_pos_as_xyz
'x,y,z'
loop_
_atom_site_label
_atom_site_fract_x
_atom_site_fract_y
_atom_site_fract_z
Nb1 0.175 0.325 0.000
Nb2 0.325 0.825 0.000
Nb3 0.675 0.175 0.000
Nb4 0.825 0.675 0.000
Co1 0.000 0.000 0.500
Co2 0.500 0.500 0.500
Pt1 0.132 0.632 0.500
Pt2 0.368 0.132 0.500
Pt3 0.632 0.868 0.500
Pt4 0.868 0.368 0.500
# **M_tot**: 0.218 μB/atom
# **VASP energy**: -8.046 eV per atom
# **E above lowest polymorph**: 254 meV/atom
# **SG**: P4/mbm, No. 127
# **Density of states at the Fermi level**: 1.0085 states/eV per atom
# **Energy of formation**: -0.180 eV per atom

***

# PBE NbCoPt, optimized geometry
data_NbCoPt
_symmetry_space_group_name_H-M 'P 1'
_symmetry_Int_Tables_number 1
_cell_length_a 4.836
_cell_length_b 4.836
_cell_length_c 5.000
_cell_angle_alpha 90.00
_cell_angle_beta 90.00
_cell_angle_gamma 128.08
loop_
_symmetry_equiv_pos_as_xyz
'x,y,z'
loop_
_atom_site_label
_atom_site_fract_x
_atom_site_fract_y
_atom_site_fract_z
Nb1 0.213 0.787 0.750
Nb2 0.787 0.213 0.250
Co1 0.500 0.500 0.000
Co2 0.500 0.500 0.500
Pt1 0.100 0.900 0.250
Pt2 0.900 0.100 0.750
# **M_tot**: 0.241 μB/atom
# **VASP energy**: -8.046 eV per atom
# **E above lowest polymorph**: 45 meV/atom
# **SG**: Cmcm, No. 63
# **Density of states at the Fermi level**: 0.9822 states/eV per atom
# **Energy of formation**: -0.307 eV per atom

***

# PBE Nb4CoPt3, optimized geometry
data_Nb4CoPt3
_symmetry_space_group_name_H-M 'P 1'
_symmetry_Int_Tables_number 1
_cell_length_a 2.806
_cell_length_b 4.611
_cell_length_c 9.945
_cell_angle_alpha 90.00
_cell_angle_beta 90.00
_cell_angle_gamma 90.00
loop_
_symmetry_equiv_pos_as_xyz
'x,y,z'
loop_
_atom_site_label
_atom_site_fract_x
_atom_site_fract_y
_atom_site_fract_z
Nb1 0.000 0.000 0.000
Nb2 0.000 0.000 0.478
Nb3 0.000 0.500 0.178
Nb4 0.000 0.500 0.668
Co1 0.500 0.000 0.238
Pt1 0.500 0.000 0.742
Pt2 0.500 0.500 0.415
Pt3 0.500 0.500 0.919
# **M_tot**: 0.004 μB/atom
# **VASP energy**: -8.661 eV per atom
# **SG**: Pmm2, No. 25
# **Density of states at the Fermi level**: 0.9524 states/eV per atom
# **Energy of formation**: -0.472 eV per atom

***

# PBE Nb2CoPt, optimized geometry
data_Nb2CoPt
_symmetry_space_group_name_H-M 'P 1'
_symmetry_Int_Tables_number 1
_cell_length_a 9.286
_cell_length_b 9.286
_cell_length_c 9.286
_cell_angle_alpha 155.56
_cell_angle_beta 155.56
_cell_angle_gamma 34.83
loop_
_symmetry_equiv_pos_as_xyz
'x,y,z'
loop_
_atom_site_label
_atom_site_fract_x
_atom_site_fract_y
_atom_site_fract_z
Nb1 0.115 0.625 0.990
Nb2 0.375 0.365 0.490
Nb3 0.635 0.125 0.010
Nb4 0.875 0.885 0.510
Co1 0.000 0.000 0.000
Co2 0.750 0.250 0.500
Pt1 0.250 0.750 0.500
Pt2 0.500 0.500 0.000
# **M_tot**: 0.000 μB/atom
# **VASP energy**: -8.029 eV per atom
# **SG**: I-42d, No. 122
# **Density of states at the Fermi level**: 0.9337 states/eV per atom
# **Energy of formation**: 0.292 eV per atom

***

# PBE Nb2CoPt, optimized geometry
data_Nb2CoPt
_symmetry_space_group_name_H-M 'P 1'
_symmetry_Int_Tables_number 1
_cell_length_a 3.937
_cell_length_b 3.937
_cell_length_c 3.988
_cell_angle_alpha 90.00
_cell_angle_beta 90.00
_cell_angle_gamma 90.00
loop_
_symmetry_equiv_pos_as_xyz
'x,y,z'
loop_
_atom_site_label
_atom_site_fract_x
_atom_site_fract_y
_atom_site_fract_z
Nb1 0.000 0.500 0.000
Nb2 0.500 0.000 0.000
Co1 0.000 0.000 0.500
Pt1 0.500 0.500 0.500
# **M_tot**: 0.000 μB/atom
# **VASP energy**: -8.673 eV per atom
# **SG**: P4/mmm, No. 123
# **Density of states at the Fermi level**: 0.7259 states/eV per atom
# **Energy of formation**: -0.352 eV per atom

***

# PBE Nb2CoPt9, optimized geometry
data_Nb2CoPt9
_symmetry_space_group_name_H-M 'P 1'
_symmetry_Int_Tables_number 1
_cell_length_a 3.998
_cell_length_b 3.998
_cell_length_c 11.736
_cell_angle_alpha 90.00
_cell_angle_beta 90.00
_cell_angle_gamma 90.00
loop_
_symmetry_equiv_pos_as_xyz
'x,y,z'
loop_
_atom_site_label
_atom_site_fract_x
_atom_site_fract_y
_atom_site_fract_z
Nb1 0.000 0.000 0.176
Nb2 0.000 0.000 0.824
Co1 0.000 0.000 0.500
Pt1 0.000 0.500 0.000
Pt2 0.000 0.500 0.335
Pt3 0.000 0.500 0.665
Pt4 0.500 0.000 0.000
Pt5 0.500 0.000 0.335
Pt6 0.500 0.000 0.665
Pt7 0.500 0.500 0.167
Pt8 0.500 0.500 0.500
Pt9 0.500 0.500 0.833
# **M_tot**: 0.210 μB/atom
# **VASP energy**: -7.248 eV per atom
# **SG**: P4/mmm, No. 123
# **Density of states at the Fermi level**: 0.8538 states/eV per atom
# **Energy of formation**: -0.447 eV per atom

***

# PBE NbCoPt, optimized geometry
data_NbCoPt
_symmetry_space_group_name_H-M 'P 1'
_symmetry_Int_Tables_number 1
_cell_length_a 9.710
_cell_length_b 9.710
_cell_length_c 9.710
_cell_angle_alpha 161.10
_cell_angle_beta 161.10
_cell_angle_gamma 26.86
loop_
_symmetry_equiv_pos_as_xyz
'x,y,z'
loop_
_atom_site_label
_atom_site_fract_x
_atom_site_fract_y
_atom_site_fract_z
Nb1 0.149 0.149 0.000
Nb2 0.851 0.851 0.000
Co1 0.284 0.284 0.000
Co2 0.716 0.716 0.000
Pt1 0.431 0.431 0.000
Pt2 0.569 0.569 0.000
# **M_tot**: 0.000 μB/atom
# **VASP energy**: -7.982 eV per atom
# **E above lowest polymorph**: 109 meV/atom
# **SG**: I4/mmm, No. 139
# **Density of states at the Fermi level**: 0.5716 states/eV per atom
# **Energy of formation**: -0.243 eV per atom

***

# PBE NbCoPt4, optimized geometry
data_NbCoPt4
_symmetry_space_group_name_H-M 'P 1'
_symmetry_Int_Tables_number 1
_cell_length_a 4.417
_cell_length_b 4.417
_cell_length_c 5.603
_cell_angle_alpha 90.19
_cell_angle_beta 90.19
_cell_angle_gamma 102.36
loop_
_symmetry_equiv_pos_as_xyz
'x,y,z'
loop_
_atom_site_label
_atom_site_fract_x
_atom_site_fract_y
_atom_site_fract_z
Nb1 0.000 0.000 0.000
Co1 0.500 0.500 0.500
Pt1 0.001 0.499 0.741
Pt2 0.499 0.001 0.741
Pt3 0.501 0.999 0.259
Pt4 0.999 0.501 0.259
# **M_tot**: 0.431 μB/atom
# **VASP energy**: -6.998 eV per atom
# **E above lowest polymorph**: 243 meV/atom
# **SG**: C2/m, No. 12
# **Density of states at the Fermi level**: 1.0733 states/eV per atom
# **Energy of formation**: -0.108 eV per atom

***

# PBE NbCoPt3, optimized geometry
data_NbCoPt3
_symmetry_space_group_name_H-M 'P 1'
_symmetry_Int_Tables_number 1
_cell_length_a 4.514
_cell_length_b 4.514
_cell_length_c 4.514
_cell_angle_alpha 90.00
_cell_angle_beta 90.00
_cell_angle_gamma 90.00
loop_
_symmetry_equiv_pos_as_xyz
'x,y,z'
loop_
_atom_site_label
_atom_site_fract_x
_atom_site_fract_y
_atom_site_fract_z
Nb1 0.000 0.000 0.000
Co1 0.500 0.500 0.500
Pt1 0.000 0.500 0.500
Pt2 0.500 0.000 0.500
Pt3 0.500 0.500 0.000
# **M_tot**: 0.517 μB/atom
# **VASP energy**: -6.183 eV per atom
# **E above lowest polymorph**: 0 meV/atom
# **SG**: Pm-3m, No. 221
# **Density of states at the Fermi level**: 1.9302 states/eV per atom
# **Energy of formation**: 0.877 eV per atom

***

# PBE NbCo4Pt, optimized geometry
data_NbCo4Pt
_symmetry_space_group_name_H-M 'P 1'
_symmetry_Int_Tables_number 1
_cell_length_a 4.750
_cell_length_b 4.750
_cell_length_c 4.750
_cell_angle_alpha 60.00
_cell_angle_beta 60.00
_cell_angle_gamma 60.00
loop_
_symmetry_equiv_pos_as_xyz
'x,y,z'
loop_
_atom_site_label
_atom_site_fract_x
_atom_site_fract_y
_atom_site_fract_z
Nb1 0.000 0.000 0.000
Co1 0.375 0.375 0.375
Co2 0.375 0.375 0.874
Co3 0.375 0.874 0.375
Co4 0.874 0.375 0.375
Pt1 0.750 0.750 0.750
# **M_tot**: 0.834 μB/atom
# **VASP energy**: -7.641 eV per atom
# **SG**: F-43m, No. 216
# **Density of states at the Fermi level**: 1.7559 states/eV per atom
# **Energy of formation**: -0.219 eV per atom

***

# PBE NbCoPt, optimized geometry
data_NbCoPt
_symmetry_space_group_name_H-M 'P 1'
_symmetry_Int_Tables_number 1
_cell_length_a 4.357
_cell_length_b 4.357
_cell_length_c 2.735
_cell_angle_alpha 90.00
_cell_angle_beta 90.00
_cell_angle_gamma 120.00
loop_
_symmetry_equiv_pos_as_xyz
'x,y,z'
loop_
_atom_site_label
_atom_site_fract_x
_atom_site_fract_y
_atom_site_fract_z
Nb1 0.000 0.000 0.000
Co1 0.667 0.333 0.500
Pt1 0.333 0.667 0.500
# **M_tot**: 0.547 μB/atom
# **VASP energy**: -8.001 eV per atom
# **E above lowest polymorph**: 90 meV/atom
# **SG**: P-6m2, No. 187
# **Density of states at the Fermi level**: 1.4170 states/eV per atom
# **Energy of formation**: -0.262 eV per atom

***

# PBE NbCoPt, optimized geometry
data_NbCoPt
_symmetry_space_group_name_H-M 'P 1'
_symmetry_Int_Tables_number 1
_cell_length_a 4.805
_cell_length_b 4.805
_cell_length_c 4.805
_cell_angle_alpha 140.20
_cell_angle_beta 140.20
_cell_angle_gamma 57.56
loop_
_symmetry_equiv_pos_as_xyz
'x,y,z'
loop_
_atom_site_label
_atom_site_fract_x
_atom_site_fract_y
_atom_site_fract_z
Nb1 0.000 0.000 0.000
Co1 0.648 0.648 0.000
Pt1 0.325 0.325 0.000
# **M_tot**: 0.189 μB/atom
# **VASP energy**: -8.070 eV per atom
# **E above lowest polymorph**: 20 meV/atom
# **SG**: I4mm, No. 107
# **Density of states at the Fermi level**: 1.1253 states/eV per atom
# **Energy of formation**: -0.332 eV per atom

***

The lowest energy of formation belongs to which entry? Nb4CoPt3

***

Number 2 is which compound? NbCoPt

***

The lowest VASP energy belongs to which entry? number 5